1.
Here is a geometry-optimized Y3GaPd structure from Alexandria via LeMat-Bulk. Energies are from PBE.

Summary:
E: -0.2078 hartree per atom
space-group type: Pm-3m, No. 221
relative energy among the computed polymorphs: 350 meV per atom
mass density: 4755 kg/m3
energy of formation: -0.13 eV per atom

a = 5.3678 Å, b = 5.3678 Å, c = 5.3678 Å
α = 90.00°, β = 90.00°, γ = 90.00°
Last column: nearest neighbours and their distance in Å.
Sites, in units of the cell vectors:
Y (0.0000, 0.5000, 0.0000)  2 Pd 2.68
Y (0.0000, 0.0000, 0.5000)  2 Pd 2.68
Y (0.5000, 0.0000, 0.0000)  2 Pd 2.68
Ga (0.5000, 0.5000, 0.5000)  12 Y 3.80
Pd (0.0000, 0.0000, 0.0000)  6 Y 2.68

2.
Here is a geometry-optimized Y4GaPd12 structure from Alexandria via LeMat-Bulk. Energies are from PBE.

Summary:
E: -0.2293 hartree per atom
space-group type: Im-3m, No. 229
mass density: 9320 kg/m3
energy of formation: -0.87 eV per atom

a = 7.3311 Å, b = 7.3311 Å, c = 7.3311 Å
α = 109.47°, β = 109.47°, γ = 109.47°
Last column: nearest neighbours and their distance in Å.
Sites, in units of the cell vectors:
Y (0.0000, 0.0000, 0.5000)  12 Pd 2.99-3.01
Y (0.5000, 0.0000, 0.0000)  12 Pd 2.99-3.01
Y (0.5000, 0.5000, 0.5000)  12 Pd 2.99-3.01
Y (0.0000, 0.5000, 0.0000)  12 Pd 2.99-3.01
Ga (0.0000, 0.0000, 0.0000)  6 Pd 2.42
Pd (0.0000, 0.2860, 0.2860)  1 Ga 2.42
Pd (0.0000, 0.7140, 0.7140)  1 Ga 2.42
Pd (0.7140, 0.7140, 0.0000)  1 Ga 2.42
Pd (0.2860, 0.2860, 0.0000)  1 Ga 2.42
Pd (0.2860, 0.0000, 0.2860)  1 Ga 2.42
Pd (0.7140, 0.0000, 0.7140)  1 Ga 2.42
Pd (0.5000, 0.2500, 0.7500)  8 Pd 2.79-2.99, 4 Y 2.99
Pd (0.5000, 0.7500, 0.2500)  8 Pd 2.79-2.99, 4 Y 2.99
Pd (0.7500, 0.2500, 0.5000)  8 Pd 2.79-2.99, 4 Y 2.99
Pd (0.2500, 0.7500, 0.5000)  8 Pd 2.79-2.99, 4 Y 2.99
Pd (0.7500, 0.5000, 0.2500)  8 Pd 2.79-2.99, 4 Y 2.99
Pd (0.2500, 0.5000, 0.7500)  8 Pd 2.79-2.99, 4 Y 2.99

3.
Here is a geometry-optimized Y2GaPd structure from Alexandria via LeMat-Bulk. Energies are from PBE.

Summary:
E: -0.2221 hartree per atom
space-group type: P2_1/m, No. 11
mass density: 6295 kg/m3
energy of formation: -0.76 eV per atom

a = 4.4701 Å, b = 5.9352 Å, c = 7.7389 Å
α = 114.57°, β = 90.00°, γ = 90.00°
Last column: nearest neighbours and their distance in Å.
Sites, in units of the cell vectors:
Y (0.7500, 0.2324, 0.4135)  3 Pd 2.93-3.04, 4 Ga 3.03-3.12
Y (0.2500, 0.7676, 0.5865)  3 Pd 2.93-3.04, 4 Ga 3.03-3.12
Y (0.2500, 0.7937, 0.0733)  4 Pd 2.97-3.12, 3 Ga 3.07-3.08
Y (0.7500, 0.2063, 0.9267)  4 Pd 2.97-3.12, 3 Ga 3.07-3.08
Ga (0.7500, 0.6779, 0.2987)  2 Pd 2.81, 7 Y 3.03-3.12
Ga (0.2500, 0.3221, 0.7013)  2 Pd 2.81, 7 Y 3.03-3.12
Pd (0.2500, 0.3641, 0.2055)  2 Ga 2.81, 7 Y 2.93-3.12
Pd (0.7500, 0.6359, 0.7945)  2 Ga 2.81, 7 Y 2.93-3.12

4.
Here is a geometry-optimized Y2Ga9Pd6 structure from Alexandria via LeMat-Bulk. Energies are from PBE.

Summary:
E: -0.1746 hartree per atom
space-group type: P6/mmm, No. 191
mass density: 7541 kg/m3
energy of formation: -0.56 eV per atom

a = 5.3572 Å, b = 5.3572 Å, c = 12.7923 Å
α = 90.00°, β = 90.00°, γ = 120.00°
Last column: nearest neighbours and their distance in Å.
Sites, in units of the cell vectors:
Y (0.0000, 0.0000, 0.6529)  6 Pd 3.10, 6 Ga 3.32
Y (0.0000, 0.0000, 0.3471)  6 Pd 3.10, 6 Ga 3.32
Ga (0.5000, 0.0000, 0.8388)  4 Pd 2.58-2.64, 4 Ga 2.68
Ga (0.0000, 0.5000, 0.8388)  4 Pd 2.58-2.64, 4 Ga 2.68
Ga (0.5000, 0.5000, 0.8388)  4 Pd 2.58-2.64, 4 Ga 2.68
Ga (0.5000, 0.0000, 0.1612)  4 Pd 2.58-2.64, 4 Ga 2.68
Ga (0.0000, 0.5000, 0.1612)  4 Pd 2.58-2.64, 4 Ga 2.68
Ga (0.5000, 0.5000, 0.1612)  4 Pd 2.58-2.64, 4 Ga 2.68
Ga (0.5000, 0.0000, 0.5000)  4 Ga 2.68, 4 Pd 2.69
Ga (0.0000, 0.5000, 0.5000)  4 Ga 2.68, 4 Pd 2.69
Ga (0.5000, 0.5000, 0.5000)  4 Ga 2.68, 4 Pd 2.69
Pd (0.3333, 0.6667, 0.0000)  6 Ga 2.58
Pd (0.6667, 0.3333, 0.0000)  6 Ga 2.58
Pd (0.3333, 0.6667, 0.6717)  6 Ga 2.64-2.69
Pd (0.6667, 0.3333, 0.6717)  6 Ga 2.64-2.69
Pd (0.6667, 0.3333, 0.3283)  6 Ga 2.64-2.69
Pd (0.3333, 0.6667, 0.3283)  6 Ga 2.64-2.69

5.
Here is a geometry-optimized YGa3Pd3 structure from Alexandria via LeMat-Bulk. Energies are from PBE.

Summary:
E: -0.1733 hartree per atom
space-group type: Pm-3n, No. 223
relative energy among the computed polymorphs: 382 meV per atom
mass density: 6577 kg/m3
energy of formation: -0.27 eV per atom

a = 6.7803 Å, b = 6.7803 Å, c = 6.7803 Å
α = 90.00°, β = 90.00°, γ = 90.00°
Last column: nearest neighbours and their distance in Å.
Sites, in units of the cell vectors:
Y (0.5000, 0.5000, 0.5000)  12 Ga 3.79, 12 Pd 3.79
Y (0.0000, 0.0000, 0.0000)  12 Pd 3.79, 12 Ga 3.79
Ga (0.0000, 0.2500, 0.5000)  4 Pd 2.40
Ga (0.0000, 0.7500, 0.5000)  4 Pd 2.40
Ga (0.5000, 0.0000, 0.7500)  4 Pd 2.40
Ga (0.7500, 0.5000, 0.0000)  4 Pd 2.40
Ga (0.5000, 0.0000, 0.2500)  4 Pd 2.40
Ga (0.2500, 0.5000, 0.0000)  4 Pd 2.40
Pd (0.2500, 0.0000, 0.5000)  4 Ga 2.40
Pd (0.0000, 0.5000, 0.2500)  4 Ga 2.40
Pd (0.5000, 0.7500, 0.0000)  4 Ga 2.40
Pd (0.7500, 0.0000, 0.5000)  4 Ga 2.40
Pd (0.0000, 0.5000, 0.7500)  4 Ga 2.40
Pd (0.5000, 0.2500, 0.0000)  4 Ga 2.40

6.
Here is a geometry-optimized YGa2Pd9 structure from Alexandria via LeMat-Bulk. Energies are from PBE.

Summary:
E: -0.2029 hartree per atom
space-group type: P4/mmm, No. 123
mass density: 10282 kg/m3
energy of formation: -0.58 eV per atom

a = 4.0322 Å, b = 4.0322 Å, c = 11.7818 Å
α = 90.00°, β = 90.00°, γ = 90.00°
Last column: nearest neighbours and their distance in Å.
Sites, in units of the cell vectors:
Y (0.0000, 0.0000, 0.0000)  12 Pd 2.85-2.94
Ga (0.0000, 0.0000, 0.3426)  12 Pd 2.74-2.85
Ga (0.0000, 0.0000, 0.6574)  12 Pd 2.74-2.85
Pd (0.5000, 0.5000, 0.0000)  4 Y 2.85, 8 Pd 2.94
Pd (0.5000, 0.5000, 0.3396)  8 Pd 2.74-2.76, 4 Ga 2.85
Pd (0.5000, 0.5000, 0.6604)  8 Pd 2.74-2.76, 4 Ga 2.85
Pd (0.5000, 0.0000, 0.1817)  8 Pd 2.74-2.94, 2 Ga 2.77, 2 Y 2.94
Pd (0.5000, 0.0000, 0.5000)  4 Ga 2.74, 8 Pd 2.76-2.85
Pd (0.5000, 0.0000, 0.8183)  8 Pd 2.74-2.94, 2 Ga 2.77, 2 Y 2.94
Pd (0.0000, 0.5000, 0.1817)  8 Pd 2.74-2.94, 2 Ga 2.77, 2 Y 2.94
Pd (0.0000, 0.5000, 0.5000)  4 Ga 2.74, 8 Pd 2.76-2.85
Pd (0.0000, 0.5000, 0.8183)  8 Pd 2.74-2.94, 2 Ga 2.77, 2 Y 2.94

7.
Here is a geometry-optimized Y6GaPd2 structure from Alexandria via LeMat-Bulk. Energies are from PBE.

Summary:
E: -0.2336 hartree per atom
space-group type: Immm, No. 71
mass density: 5719 kg/m3
energy of formation: -0.56 eV per atom

a = 8.5160 Å, b = 8.5160 Å, c = 8.5160 Å
α = 105.84°, β = 110.25°, γ = 112.39°
Last column: nearest neighbours and their distance in Å.
Sites, in units of the cell vectors:
Y (0.5388, 0.7176, 0.8212)  3 Pd 3.03-3.12, 1 Ga 3.19
Y (0.4612, 0.2824, 0.1788)  3 Pd 3.03-3.12, 1 Ga 3.19
Y (0.1036, 0.2824, 0.8212)  3 Pd 3.03-3.12, 1 Ga 3.19
Y (0.8964, 0.7176, 0.1788)  3 Pd 3.03-3.12, 1 Ga 3.19
Y (0.8075, 0.7609, 0.5684)  1 Pd 2.86, 1 Ga 3.09
Y (0.1925, 0.2391, 0.4316)  1 Pd 2.86, 1 Ga 3.09
Y (0.1925, 0.7609, 0.9535)  1 Pd 2.86, 1 Ga 3.09
Y (0.8075, 0.2391, 0.0465)  1 Pd 2.86, 1 Ga 3.09
Y (0.7021, 0.3722, 0.6701)  3 Pd 2.78-3.01
Y (0.2979, 0.6278, 0.3299)  3 Pd 2.78-3.01
Y (0.2979, 0.9680, 0.6701)  3 Pd 2.78-3.01
Y (0.7021, 0.0320, 0.3299)  3 Pd 2.78-3.01
Ga (0.0000, 0.5000, 0.5000)  8 Y 3.27-3.32
Ga (0.0000, 0.0000, 0.0000)  8 Y 3.09-3.19, 2 Pd 3.34
Pd (0.5000, 0.3668, 0.8668)  1 Pd 2.74, 6 Y 2.78-3.03
Pd (0.5000, 0.6332, 0.1332)  1 Pd 2.74, 6 Y 2.78-3.03
Pd (0.6573, 0.0000, 0.6573)  8 Y 2.86-3.12, 1 Pd 3.06
Pd (0.3427, 0.0000, 0.3427)  8 Y 2.86-3.12, 1 Pd 3.06

8.
Here is a geometry-optimized YGa2Pd8 structure from Alexandria via LeMat-Bulk. Energies are from PBE.

Summary:
E: -0.2003 hartree per atom
space-group type: C2/m, No. 12
mass density: 9666 kg/m3
energy of formation: -0.54 eV per atom

a = 4.6595 Å, b = 6.8109 Å, c = 6.8109 Å
α = 113.77°, β = 100.94°, γ = 100.94°
Last column: nearest neighbours and their distance in Å.
Sites, in units of the cell vectors:
Y (0.5000, 0.0000, 0.0000)  12 Pd 2.75-3.08
Ga (0.0000, 0.3132, 0.6868)  8 Pd 2.47-2.60
Ga (0.0000, 0.6868, 0.3132)  8 Pd 2.47-2.60
Pd (0.8945, 0.9204, 0.6763)  2 Ga 2.55-2.60, 3 Pd 2.78-2.81
Pd (0.8945, 0.6763, 0.9204)  2 Ga 2.55-2.60, 3 Pd 2.78-2.81
Pd (0.3118, 0.5994, 0.5994)  2 Ga 2.54, 2 Pd 2.66-2.76, 1 Y 2.80
Pd (0.5000, 0.7589, 0.2411)  2 Ga 2.47, 1 Y 2.75
Pd (0.5000, 0.2411, 0.7589)  2 Ga 2.47, 1 Y 2.75
Pd (0.6882, 0.4006, 0.4006)  2 Ga 2.54, 2 Pd 2.66-2.76, 1 Y 2.80
Pd (0.1055, 0.3237, 0.0796)  2 Ga 2.55-2.60, 3 Pd 2.78-2.81
Pd (0.1055, 0.0796, 0.3237)  2 Ga 2.55-2.60, 3 Pd 2.78-2.81

9.
Here is a geometry-optimized YGa6Pd4 structure from Alexandria via LeMat-Bulk. Energies are from PBE.

Summary:
E: -0.1746 hartree per atom
space-group type: P-6m2, No. 187
mass density: 8131 kg/m3
energy of formation: -0.62 eV per atom

a = 3.9738 Å, b = 7.4405 Å, c = 7.4405 Å
α = 120.00°, β = 90.00°, γ = 90.00°
Last column: nearest neighbours and their distance in Å.
Sites, in units of the cell vectors:
Y (0.0000, 0.0000, 0.0000)  6 Ga 3.20, 6 Pd 3.26
Ga (0.0000, 0.5337, 0.0673)  5 Pd 2.58-2.62
Ga (0.5000, 0.6100, 0.8050)  4 Pd 2.55-2.67
Ga (0.0000, 0.5337, 0.4663)  5 Pd 2.58-2.62
Ga (0.0000, 0.9327, 0.4663)  5 Pd 2.58-2.62
Ga (0.5000, 0.1950, 0.8050)  4 Pd 2.55-2.67
Ga (0.5000, 0.1950, 0.3900)  4 Pd 2.55-2.67
Pd (0.5000, 0.7994, 0.5988)  6 Ga 2.55-2.62
Pd (0.5000, 0.4012, 0.2006)  6 Ga 2.55-2.62
Pd (0.5000, 0.7994, 0.2006)  6 Ga 2.55-2.62
Pd (0.0000, 0.3333, 0.6667)  9 Ga 2.58-2.67

10.
Here is a geometry-optimized Y5GaPd4 structure from Alexandria via LeMat-Bulk. Energies are from PBE.

Summary:
E: -0.2364 hartree per atom
space-group type: P4/mmm, No. 123
mass density: 7081 kg/m3
energy of formation: -0.82 eV per atom

a = 3.5272 Å, b = 3.5272 Å, c = 17.7180 Å
α = 90.00°, β = 90.00°, γ = 90.00°
Last column: nearest neighbours and their distance in Å.
Sites, in units of the cell vectors:
Y (0.5000, 0.5000, 0.1035)  4 Pd 3.04, 4 Ga 3.10
Y (0.5000, 0.5000, 0.3014)  8 Pd 3.05-3.06
Y (0.5000, 0.5000, 0.5000)  8 Pd 3.05
Y (0.5000, 0.5000, 0.6986)  8 Pd 3.05-3.06
Y (0.5000, 0.5000, 0.8965)  4 Pd 3.04, 4 Ga 3.10
Ga (0.0000, 0.0000, 0.0000)  8 Y 3.10
Pd (0.0000, 0.0000, 0.2017)  8 Y 3.04-3.06
Pd (0.0000, 0.0000, 0.4009)  8 Y 3.05
Pd (0.0000, 0.0000, 0.5991)  8 Y 3.05
Pd (0.0000, 0.0000, 0.7983)  8 Y 3.04-3.06

11.
Here is a geometry-optimized Y3Ga3Pd2 structure from Alexandria via LeMat-Bulk. Energies are from PBE.

Summary:
E: -0.2073 hartree per atom
space-group type: Pnma, No. 62
mass density: 6708 kg/m3
energy of formation: -0.78 eV per atom

a = 5.6342 Å, b = 8.1247 Å, c = 14.8977 Å
α = 90.00°, β = 90.00°, γ = 90.00°
Last column: nearest neighbours and their distance in Å.
Sites, in units of the cell vectors:
Y (0.1261, 0.4591, 0.3895)  3 Pd 3.02-3.29, 7 Ga 3.03-3.34
Y (0.6261, 0.0409, 0.6105)  3 Pd 3.02-3.29, 7 Ga 3.03-3.34
Y (0.8739, 0.5409, 0.8895)  3 Pd 3.02-3.29, 7 Ga 3.03-3.34
Y (0.3739, 0.9591, 0.1105)  3 Pd 3.02-3.29, 7 Ga 3.03-3.34
Y (0.8739, 0.5409, 0.6105)  3 Pd 3.02-3.29, 7 Ga 3.03-3.34
Y (0.3739, 0.9591, 0.3895)  3 Pd 3.02-3.29, 7 Ga 3.03-3.34
Y (0.1261, 0.4591, 0.1105)  3 Pd 3.02-3.29, 7 Ga 3.03-3.34
Y (0.6261, 0.0409, 0.8895)  3 Pd 3.02-3.29, 7 Ga 3.03-3.34
Y (0.6285, 0.3131, 0.2500)  5 Ga 3.04-3.23, 4 Pd 3.11-3.12
Y (0.1285, 0.1869, 0.7500)  5 Ga 3.04-3.23, 4 Pd 3.11-3.12
Y (0.3715, 0.6869, 0.7500)  5 Ga 3.04-3.23, 4 Pd 3.11-3.12
Y (0.8715, 0.8131, 0.2500)  5 Ga 3.04-3.23, 4 Pd 3.11-3.12
Ga (0.1270, 0.1696, 0.2500)  2 Pd 2.64
Ga (0.6270, 0.3304, 0.7500)  2 Pd 2.64
Ga (0.8730, 0.8304, 0.7500)  2 Pd 2.64
Ga (0.3730, 0.6696, 0.2500)  2 Pd 2.64
Ga (0.6100, 0.3082, 0.4633)  3 Pd 2.52-2.64
Ga (0.1100, 0.1918, 0.5367)  3 Pd 2.52-2.64
Ga (0.3900, 0.6918, 0.9633)  3 Pd 2.52-2.64
Ga (0.8900, 0.8082, 0.0367)  3 Pd 2.52-2.64
Ga (0.3900, 0.6918, 0.5367)  3 Pd 2.52-2.64
Ga (0.8900, 0.8082, 0.4633)  3 Pd 2.52-2.64
Ga (0.6100, 0.3082, 0.0367)  3 Pd 2.52-2.64
Ga (0.1100, 0.1918, 0.9633)  3 Pd 2.52-2.64
Pd (0.8746, 0.0930, 0.3933)  4 Ga 2.52-2.64
Pd (0.3746, 0.4070, 0.6067)  4 Ga 2.52-2.64
Pd (0.1254, 0.9070, 0.8933)  4 Ga 2.52-2.64
Pd (0.6254, 0.5930, 0.1067)  4 Ga 2.52-2.64
Pd (0.1254, 0.9070, 0.6067)  4 Ga 2.52-2.64
Pd (0.6254, 0.5930, 0.3933)  4 Ga 2.52-2.64
Pd (0.8746, 0.0930, 0.1067)  4 Ga 2.52-2.64
Pd (0.3746, 0.4070, 0.8933)  4 Ga 2.52-2.64

12.
Here is a geometry-optimized Y2Ga2Pd structure from Alexandria via LeMat-Bulk. Energies are from PBE.

Summary:
E: -0.2052 hartree per atom
space-group type: P4/mbm, No. 127
relative energy among the computed polymorphs: 38 meV per atom
mass density: 6602 kg/m3
energy of formation: -0.75 eV per atom

a = 6.9997 Å, b = 6.9997 Å, c = 4.3501 Å
α = 90.00°, β = 90.00°, γ = 90.00°
Last column: nearest neighbours and their distance in Å.
Sites, in units of the cell vectors:
Y (0.1709, 0.6709, 0.5000)  6 Ga 2.91-3.05
Y (0.6709, 0.8291, 0.5000)  6 Ga 2.91-3.05
Y (0.8291, 0.3291, 0.5000)  6 Ga 2.91-3.05
Y (0.3291, 0.1709, 0.5000)  6 Ga 2.91-3.05
Ga (0.3668, 0.8668, 0.0000)  1 Ga 2.64, 2 Pd 2.73, 2 Y 2.91
Ga (0.8668, 0.6332, 0.0000)  1 Ga 2.64, 2 Pd 2.73, 2 Y 2.91
Ga (0.6332, 0.1332, 0.0000)  1 Ga 2.64, 2 Pd 2.73, 2 Y 2.91
Ga (0.1332, 0.3668, 0.0000)  1 Ga 2.64, 2 Pd 2.73, 2 Y 2.91
Pd (0.0000, 0.0000, 0.0000)  4 Ga 2.73
Pd (0.5000, 0.5000, 0.0000)  4 Ga 2.73

no.,Fermi-level density of states (states/eV/f.u.)
1,7.85
2,4.93
3,2.66
4,8.91
5,4.54
6,9.70
7,8.67
8,3.74
9,5.76
10,7.60
11,6.68
12,3.66